(1)
Computed, not measured: Pu2Cd3In after structural relaxation at the PBE-GGA level of DFT.

Geometry as CIF:
```
data_Pu2Cd3In
_chemical_formula_sum 'Pu4 Cd6 In2'
_cell_length_a 6.0059
_cell_length_b 6.0059
_cell_length_c 9.5578
_cell_angle_alpha 90.00
_cell_angle_beta 90.00
_cell_angle_gamma 120.00
_space_group_name_H-M_alt 'P 63/m m c'
_space_group_IT_number 194
_space_group_name_Hall '-P 6c 2c'
loop_
_atom_site_label
_atom_site_type_symbol
_atom_site_fract_x
_atom_site_fract_y
_atom_site_fract_z
Pu1 Pu 0.3333 0.6667 0.0612
Cd1 Cd 0.1724 0.3448 0.7500
In1 In 0.0000 0.0000 0.0000
```

Output
Formation enthalpy at 0 K, kJ/mol of formula units: -44

=====

(2)
Computed, not measured: KMn3Co after structural relaxation at the PBE-GGA level of DFT.

Geometry as CIF:
```
data_KMn3Co
_chemical_formula_sum 'K1 Mn3 Co1'
_cell_length_a 4.765
_cell_length_b 4.765
_cell_length_c 4.765
_cell_angle_alpha 90.00
_cell_angle_beta 90.00
_cell_angle_gamma 90.00
_space_group_name_H-M_alt 'P m -3 m'
_space_group_IT_number 221
_space_group_name_Hall '-P 4 2 3'
loop_
_atom_site_label
_atom_site_type_symbol
_atom_site_fract_x
_atom_site_fract_y
_atom_site_fract_z
K1 K 0.000 0.000 0.000
Mn1 Mn 0.000 0.500 0.500
Co1 Co 0.500 0.500 0.500
```

Output
Formation enthalpy at 0 K, kJ/mol of formula units: 417
Energy above the lowest structure with this stoichiometry, meV per atom: 0

=====

(3)
Computed, not measured: CoRePd2S after structural relaxation at the PBE-GGA level of DFT.

Geometry as CIF:
```
data_CoRePd2S
_chemical_formula_sum 'Co1 Re1 Pd2 S1'
_cell_length_a 4.605
_cell_length_b 4.605
_cell_length_c 4.341
_cell_angle_alpha 90.00
_cell_angle_beta 90.00
_cell_angle_gamma 90.00
_space_group_name_H-M_alt 'P 4/m m m'
_space_group_IT_number 123
_space_group_name_Hall '-P 4 2'
loop_
_atom_site_label
_atom_site_type_symbol
_atom_site_fract_x
_atom_site_fract_y
_atom_site_fract_z
Co1 Co 0.000 0.000 0.000
Re1 Re 0.000 0.000 0.500
Pd1 Pd 0.000 0.500 0.000
S1 S 0.500 0.500 0.500
```

Output
E_form (uncorrected), eV per atom: 1.41

=====

Number 1: total magnetization 11.968 μB/f.u., E_tot -5.767 eV/atom. Number 2: total magnetization 13.240 μB/f.u., E_tot -6.279 eV/atom. Number 3: total magnetization 2.323 μB/f.u., E_tot -5.408 eV/atom.